Computed, not measured: a relaxed structure of Na2SrCa at the GGA-PBE level of DFT.

Output
As for the crystal system: tetragonal. The total energy is -1.52 eV/atom. The volume is 42.145 Å³ per atom. The value obtained for the total moment is 0.0 μB per formula unit.

a = 6.1672 Å, b = 6.1672 Å, c = 4.4324 Å
α = 90.00°, β = 90.00°, γ = 90.00°
Space group P4/mmm (No. 123)
Inequivalent atoms, fractional coordinates:
Na1 0.0000 0.5000 0.0000 (multiplicity 2)
Sr1 0.0000 0.0000 0.5000 (multiplicity 1)
Ca1 0.5000 0.5000 0.5000 (multiplicity 1)